DFT (PBE) results for a geometry-optimized SbTe2Os structure.

a b c (Å): 3.7323 3.7323 25.9926
angles (deg): 90.00 90.00 120.00
Space group R-3m (No. 166, hexagonal axes)
Symmetry-distinct sites (fractional):
1 Sb 0.0000 0.0000 0.0000 x3
2 Te 0.0000 0.0000 0.2270 x6
3 Os 0.0000 0.0000 0.5000 x3

Results
The formation energy without anion corrections is 350 meV/atom. For the final energy, the calculation gives -5.06 eV/atom.